# MgAlCl2, optimized geometry, DFT PBE
# Raw formation energy = -67.27 kJ/mol of atoms
# Relative energy among the computed polymorphs = 273.3 meV per atom
# Size of the total moment = 0.0000 μB/atom
# Total energy = -2.95 eV per atom
data_MgAlCl2
_chemical_formula_sum 'Mg1 Al1 Cl2'
_symmetry_space_group_name_H-M 'P 4/m m m'
_symmetry_Int_Tables_number 123
_symmetry_space_group_name_Hall '-P 4 2'
_cell_length_a 3.145
_cell_length_b 3.145
_cell_length_c 11.651
_cell_angle_alpha 90.00
_cell_angle_beta 90.00
_cell_angle_gamma 90.00
loop_
_atom_site_label
_atom_site_type_symbol
_atom_site_fract_x
_atom_site_fract_y
_atom_site_fract_z
_atom_site_occupancy
Mg1 Mg 0.000 0.000 0.000 1
Al1 Al 0.000 0.000 0.500 1
Cl1 Cl 0.500 0.500 0.130 1